(1)
# CaZn3S

A relaxed CaZn3S crystal (PBE, Alexandria).

abc: 4.9131 4.9131 4.9131
angles: 90.00 90.00 90.00
Sites, in units of the cell vectors:
S: 0.0000 0.0000 0.0000
Zn: 0.0000 0.5000 0.0000
Zn: 0.0000 0.0000 0.5000
Zn: 0.5000 0.0000 0.0000
Ca: 0.5000 0.5000 0.5000

Computed properties:
Offset from the most stable computed form in meV per atom: 0
E in eV per atom: -1.83
SG: Pm-3m
Formation energy (no corrections) in eV/atom: 0.155

(2)
# Ca2ZnS

A relaxed Ca2ZnS crystal (PBE, Alexandria).

abc: 5.1223 5.1223 5.1223
angles: 60.00 60.00 60.00
Sites, in units of the cell vectors:
S: 0.0000 0.0000 0.0000
Zn: 0.5000 0.5000 0.5000
Ca: 0.2500 0.2500 0.2500
Ca: 0.7500 0.7500 0.7500

Computed properties:
Offset from the most stable computed form in meV per atom: 161
E in eV per atom: -3.00
SG: Fm-3m
Formation energy (no corrections) in eV/atom: -0.644

(3)
# Ca2ZnS

A relaxed Ca2ZnS crystal (PBE, Alexandria).

abc: 7.7062 7.7062 6.6693
angles: 54.71 54.71 90.00
Sites, in units of the cell vectors:
S: 0.5000 0.5000 0.0000
S: 0.2500 0.7500 0.5000
Zn: 0.0000 0.0000 0.0000
Zn: 0.7500 0.2500 0.5000
Ca: 0.5895 0.1250 0.2500
Ca: 0.1605 0.6250 0.2500
Ca: 0.3750 0.4105 0.7500
Ca: 0.8750 0.8395 0.7500

Computed properties:
Offset from the most stable computed form in meV per atom: 0
E in eV per atom: -3.16
SG: I-42d
Formation energy (no corrections) in eV/atom: -0.805

(4)
# Ca3ZnS

A relaxed Ca3ZnS crystal (PBE, Alexandria).

abc: 5.3757 5.3757 5.3757
angles: 90.00 90.00 90.00
Sites, in units of the cell vectors:
S: 0.0000 0.0000 0.0000
Zn: 0.5000 0.5000 0.5000
Ca: 0.0000 0.5000 0.0000
Ca: 0.0000 0.0000 0.5000
Ca: 0.5000 0.0000 0.0000

Computed properties:
Offset from the most stable computed form in meV per atom: 0
E in eV per atom: -2.99
SG: Pm-3m
Formation energy (no corrections) in eV/atom: -0.710

(5)
# Ca2ZrZnS5

A relaxed Ca2ZrZnS5 crystal (PBE, Alexandria).

abc: 3.8187 8.5348 12.3423
angles: 90.00 90.00 102.93
Sites, in units of the cell vectors:
Ca: 0.8755 0.7511 0.8122
Ca: 0.0943 0.1886 0.6623
Ca: 0.1245 0.2489 0.3122
Ca: 0.9057 0.8114 0.1623
Zr: 0.7824 0.5648 0.5254
Zr: 0.2176 0.4352 0.0254
Zn: 0.5601 0.1202 0.9417
Zn: 0.4399 0.8798 0.4417
S: 0.3674 0.7348 0.9993
S: 0.7042 0.4084 0.8851
S: 0.5009 0.0018 0.7755
S: 0.2753 0.5507 0.6709
S: 0.9388 0.8776 0.5514
S: 0.6326 0.2652 0.4993
S: 0.2958 0.5916 0.3851
S: 0.4991 0.9982 0.2755
S: 0.7247 0.4493 0.1709
S: 0.0612 0.1224 0.0514

Computed properties:
E in eV per atom: -5.41
SG: Cmc2_1
Formation energy (no corrections) in eV/atom: -1.583

(6)
# Ca2ZrS

A relaxed Ca2ZrS crystal (PBE, Alexandria).

abc: 9.7572 9.7572 7.3436
angles: 48.37 48.37 90.00
Sites, in units of the cell vectors:
Ca: 0.4992 0.1250 0.2500
Ca: 0.2507 0.6250 0.2500
Ca: 0.3750 0.5008 0.7500
Ca: 0.8750 0.7492 0.7500
S: 0.5000 0.5000 0.0000
S: 0.2500 0.7500 0.5000
Zr: 0.0000 0.0000 0.0000
Zr: 0.7500 0.2500 0.5000

Computed properties:
E in eV per atom: -4.54
SG: I-42d
Formation energy (no corrections) in eV/atom: -0.372

(7)
# CaZrS3

A relaxed CaZrS3 crystal (PBE, Alexandria).

abc: 4.9827 4.9827 4.9827
angles: 90.00 90.00 90.00
Sites, in units of the cell vectors:
Ca: 0.5000 0.5000 0.5000
S: 0.0000 0.5000 0.0000
S: 0.0000 0.0000 0.5000
S: 0.5000 0.0000 0.0000
Zr: 0.0000 0.0000 0.0000

Computed properties:
Offset from the most stable computed form in meV per atom: 292
E in eV per atom: -6.03
SG: Pm-3m
Formation energy (no corrections) in eV/atom: -1.445

(8)
# CaZrS2

A relaxed CaZrS2 crystal (PBE, Alexandria).

abc: 8.3247 8.3247 8.3247
angles: 27.31 27.31 27.31
Sites, in units of the cell vectors:
Ca: 0.5000 0.5000 0.5000
S: 0.8996 0.8996 0.8996
S: 0.1004 0.1004 0.1004
Zr: 0.0000 0.0000 0.0000

Computed properties:
Offset from the most stable computed form in meV per atom: 538
E in eV per atom: -5.83
SG: R-3m
Formation energy (no corrections) in eV/atom: -1.128

(9)
# CaZrS3

A relaxed CaZrS3 crystal (PBE, Alexandria).

abc: 6.7487 6.9103 6.9103
angles: 120.00 90.00 90.00
Sites, in units of the cell vectors:
Ca: 0.0000 0.0000 0.0000
Ca: 0.5000 0.0000 0.0000
Zr: 0.5000 0.6667 0.3333
Zr: 0.0000 0.6667 0.3333
S: 0.7500 0.3573 0.2760
S: 0.7500 0.9187 0.6427
S: 0.7500 0.7240 0.0813
S: 0.2500 0.7240 0.6427
S: 0.2500 0.3573 0.0813
S: 0.2500 0.9187 0.2760

Computed properties:
Offset from the most stable computed form in meV per atom: 82
E in eV per atom: -6.24
SG: P-6c2
Formation energy (no corrections) in eV/atom: -1.655

(10)
# CaZrS2

A relaxed CaZrS2 crystal (PBE, Alexandria).

abc: 4.7480 4.7480 4.7480
angles: 60.00 60.00 60.00
Sites, in units of the cell vectors:
Ca: 0.0000 0.0000 0.0000
S: 0.2500 0.2500 0.2500
S: 0.7500 0.7500 0.7500
Zr: 0.5000 0.5000 0.5000

Computed properties:
Offset from the most stable computed form in meV per atom: 355
E in eV per atom: -6.01
SG: Fm-3m
Formation energy (no corrections) in eV/atom: -1.311

(11)
# CaZr4S8

A relaxed CaZr4S8 crystal (PBE, Alexandria).

abc: 7.2898 7.2898 7.8561
angles: 102.85 104.03 119.94
Sites, in units of the cell vectors:
Ca: 0.0000 0.5000 0.5000
Zr: 0.2443 0.2443 0.0000
Zr: 0.7557 0.7557 0.0000
Zr: 0.2562 0.7600 0.0162
Zr: 0.7438 0.2400 0.9838
S: 0.7010 0.0316 0.2212
S: 0.1896 0.5202 0.2212
S: 0.6929 0.5190 0.2119
S: 0.1938 0.0283 0.2222
S: 0.8062 0.9717 0.7778
S: 0.3071 0.4810 0.7881
S: 0.8104 0.4798 0.7788
S: 0.2990 0.9684 0.7788

Computed properties:
E in eV per atom: -6.98
SG: C2/m
Formation energy (no corrections) in eV/atom: -1.653

(12)
# CaZrS3

A relaxed CaZrS3 crystal (PBE, Alexandria).

abc: 6.5863 7.0839 9.6583
angles: 90.00 90.00 90.00
Sites, in units of the cell vectors:
Ca: 0.0333 0.0927 0.2500
Ca: 0.5333 0.4073 0.7500
Ca: 0.4667 0.5927 0.2500
Ca: 0.9667 0.9073 0.7500
Zr: 0.5000 0.0000 0.0000
Zr: 0.0000 0.5000 0.0000
Zr: 0.0000 0.5000 0.5000
Zr: 0.5000 0.0000 0.5000
S: 0.8167 0.1905 0.5641
S: 0.3167 0.3095 0.4359
S: 0.6833 0.6905 0.9359
S: 0.1833 0.8095 0.0641
S: 0.1833 0.8095 0.4359
S: 0.6833 0.6905 0.5641
S: 0.3167 0.3095 0.0641
S: 0.8167 0.1905 0.9359
S: 0.6255 0.9655 0.2500
S: 0.1255 0.5345 0.7500
S: 0.8745 0.4655 0.2500
S: 0.3745 0.0345 0.7500

Computed properties:
Offset from the most stable computed form in meV per atom: 0
E in eV per atom: -6.32
SG: Pnma
Formation energy (no corrections) in eV/atom: -1.737

(13)
# CaZrS3

A relaxed CaZrS3 crystal (PBE, Alexandria).

abc: 4.9737 4.9737 4.9737
angles: 90.00 90.00 90.00
Sites, in units of the cell vectors:
Ca: 0.0000 0.0000 0.0000
S: 0.0000 0.5000 0.0000
S: 0.0000 0.0000 0.5000
S: 0.5000 0.0000 0.0000
Zr: 0.5000 0.5000 0.5000

Computed properties:
Offset from the most stable computed form in meV per atom: 1661
E in eV per atom: -4.66
SG: Pm-3m
Formation energy (no corrections) in eV/atom: -0.076

(14)
# CaZrS2

A relaxed CaZrS2 crystal (PBE, Alexandria).

abc: 8.7821 8.7821 8.7821
angles: 24.42 24.42 24.42
Sites, in units of the cell vectors:
Ca: 0.0000 0.0000 0.0000
S: 0.8923 0.8923 0.8923
S: 0.1077 0.1077 0.1077
Zr: 0.5000 0.5000 0.5000

Computed properties:
Offset from the most stable computed form in meV per atom: 365
E in eV per atom: -6.00
SG: R-3m
Formation energy (no corrections) in eV/atom: -1.300

(15)
# CaZr2S

A relaxed CaZr2S crystal (PBE, Alexandria).

abc: 5.0260 5.0260 9.9326
angles: 75.34 75.34 90.00
Sites, in units of the cell vectors:
Ca: 0.0000 0.0000 0.0000
Ca: 0.7500 0.2500 0.5000
S: 0.5000 0.5000 0.0000
S: 0.2500 0.7500 0.5000
Zr: 0.4211 0.1250 0.2500
Zr: 0.3289 0.6250 0.2500
Zr: 0.3750 0.5789 0.7500
Zr: 0.8750 0.6711 0.7500

Computed properties:
E in eV per atom: -5.75
SG: I-42d
Formation energy (no corrections) in eV/atom: 0.056

(16)
# Ca3ZrS

A relaxed Ca3ZrS crystal (PBE, Alexandria).

abc: 5.4341 5.4341 5.4341
angles: 90.00 90.00 90.00
Sites, in units of the cell vectors:
Ca: 0.0000 0.5000 0.0000
Ca: 0.0000 0.0000 0.5000
Ca: 0.5000 0.0000 0.0000
S: 0.0000 0.0000 0.0000
Zr: 0.5000 0.5000 0.5000

Computed properties:
Offset from the most stable computed form in meV per atom: 0
E in eV per atom: -4.05
SG: Pm-3m
Formation energy (no corrections) in eV/atom: -0.311

(17)
# CaZrS2

A relaxed CaZrS2 crystal (PBE, Alexandria).

abc: 3.7133 3.7133 7.1096
angles: 74.86 74.86 60.00
Sites, in units of the cell vectors:
Ca: 0.4949 0.4949 0.5153
Zr: 0.6706 0.6706 0.9883
S: 0.0777 0.0777 0.7668
S: 0.2568 0.2568 0.2296

Computed properties:
Offset from the most stable computed form in meV per atom: 0
E in eV per atom: -6.37
SG: R3m
Formation energy (no corrections) in eV/atom: -1.666

(18)
# CaZr3S

A relaxed CaZr3S crystal (PBE, Alexandria).

abc: 5.0913 5.0913 5.0913
angles: 90.00 90.00 90.00
Sites, in units of the cell vectors:
Ca: 0.0000 0.0000 0.0000
S: 0.5000 0.5000 0.5000
Zr: 0.0000 0.5000 0.0000
Zr: 0.0000 0.0000 0.5000
Zr: 0.5000 0.0000 0.0000

Computed properties:
Offset from the most stable computed form in meV per atom: 2128
E in eV per atom: -4.65
SG: Pm-3m
Formation energy (no corrections) in eV/atom: 1.707

(19)
# CaZr3S

A relaxed CaZr3S crystal (PBE, Alexandria).

abc: 4.9712 4.9712 4.9712
angles: 90.00 90.00 90.00
Sites, in units of the cell vectors:
Ca: 0.5000 0.5000 0.5000
S: 0.0000 0.0000 0.0000
Zr: 0.0000 0.5000 0.0000
Zr: 0.0000 0.0000 0.5000
Zr: 0.5000 0.0000 0.0000

Computed properties:
Offset from the most stable computed form in meV per atom: 0
E in eV per atom: -6.78
SG: Pm-3m
Formation energy (no corrections) in eV/atom: -0.421

(20)
# CaZrS3

A relaxed CaZrS3 crystal (PBE, Alexandria).

abc: 3.8640 7.1820 15.1836
angles: 90.00 90.00 90.00
Sites, in units of the cell vectors:
Ca: 0.7500 0.8739 0.7939
Ca: 0.2500 0.1261 0.2061
Ca: 0.7500 0.3739 0.7061
Ca: 0.2500 0.6261 0.2939
Zr: 0.2500 0.2579 0.9552
Zr: 0.2500 0.7579 0.5448
Zr: 0.7500 0.2421 0.4552
Zr: 0.7500 0.7421 0.0448
S: 0.2500 0.3759 0.5560
S: 0.7500 0.8322 0.2077
S: 0.7500 0.4859 0.9077
S: 0.7500 0.9859 0.5923
S: 0.7500 0.6241 0.4440
S: 0.2500 0.0141 0.4077
S: 0.2500 0.8759 0.9440
S: 0.7500 0.3322 0.2923
S: 0.2500 0.6678 0.7077
S: 0.2500 0.1678 0.7923
S: 0.7500 0.1241 0.0560
S: 0.2500 0.5141 0.0923

Computed properties:
Offset from the most stable computed form in meV per atom: 6
E in eV per atom: -6.32
SG: Pnma
Formation energy (no corrections) in eV/atom: -1.731

no.,magnetic moment (Bohr magnetons per cell)
1,0.00
2,0.00
3,0.00
4,0.00
5,0.00
6,2.88
7,0.00
8,0.00
9,0.00
10,1.94
11,0.00
12,0.00
13,0.00
14,0.00
15,0.00
16,4.02
17,0.00
18,1.36
19,0.00
20,0.00